[1]
Below is crystalline Mg2FeNi at its relaxed geometry, with properties calculated at the PBE level.

The structure in CIF format:
```
data_Mg2FeNi
_chemical_formula_sum 'Mg8 Fe4 Ni4'
_symmetry_space_group_name_H-M 'F m -3 m'
_symmetry_Int_Tables_number 225
_symmetry_space_group_name_Hall '-F 4 2 3'
_cell_length_a 6.1930
_cell_length_b 6.1930
_cell_length_c 6.1930
_cell_angle_alpha 90.00
_cell_angle_beta 90.00
_cell_angle_gamma 90.00
loop_
_atom_site_label
_atom_site_fract_x
_atom_site_fract_y
_atom_site_fract_z
Mg1 0.2500 0.2500 0.2500
Fe1 0.0000 0.0000 0.0000
Ni1 0.0000 0.0000 0.5000
```

Summary:
E   -4.181 eV per atom
Density of states at the Fermi level   21.6 states/eV/cell
E_form   0.1774 eV/atom

---

[2]
Below is crystalline Mg2Fe2Ni15 at its relaxed geometry, with properties calculated at the PBE level.

The structure in CIF format:
```
data_Mg2Fe2Ni15
_chemical_formula_sum 'Mg6 Fe6 Ni45'
_symmetry_space_group_name_H-M 'R -3 m'
_symmetry_Int_Tables_number 166
_symmetry_space_group_name_Hall '-R 3 2"'
_cell_length_a 8.1541
_cell_length_b 8.1541
_cell_length_c 12.1120
_cell_angle_alpha 90.00
_cell_angle_beta 90.00
_cell_angle_gamma 120.00
loop_
_atom_site_label
_atom_site_fract_x
_atom_site_fract_y
_atom_site_fract_z
Mg1 0.0000 0.0000 0.1569
Fe1 0.0000 0.0000 0.4042
Ni1 0.0000 0.3032 0.5000
Ni2 0.0000 0.5000 0.0000
Ni3 0.9996 0.4998 0.3458
```

Summary:
E   -5.640 eV per atom
Density of states at the Fermi level   59.2 states/eV/cell
E_form   -0.0170 eV/atom

---

[3]
Below is crystalline Mg2FeNi2 at its relaxed geometry, with properties calculated at the PBE level.

The structure in CIF format:
```
data_Mg2FeNi2
_chemical_formula_sum 'Mg4 Fe2 Ni4'
_symmetry_space_group_name_H-M 'P 4/m b m'
_symmetry_Int_Tables_number 127
_symmetry_space_group_name_Hall '-P 4 2ab'
_cell_length_a 6.0649
_cell_length_b 6.0649
_cell_length_c 4.0165
_cell_angle_alpha 90.00
_cell_angle_beta 90.00
_cell_angle_gamma 90.00
loop_
_atom_site_label
_atom_site_fract_x
_atom_site_fract_y
_atom_site_fract_z
Mg1 0.1744 0.3256 0.0000
Fe1 0.0000 0.0000 0.5000
Ni1 0.1331 0.6331 0.5000
```

Summary:
E   -4.655 eV per atom
Density of states at the Fermi level   8.6 states/eV/cell
E_form   -0.0116 eV/atom

---

[4]
Below is crystalline MgFeNi at its relaxed geometry, with properties calculated at the PBE level.

The structure in CIF format:
```
data_MgFeNi
_chemical_formula_sum 'Mg2 Fe2 Ni2'
_symmetry_space_group_name_H-M 'I 4 m m'
_symmetry_Int_Tables_number 107
_symmetry_space_group_name_Hall 'I 4 -2'
_cell_length_a 2.7644
_cell_length_b 2.7644
_cell_length_c 10.5794
_cell_angle_alpha 90.00
_cell_angle_beta 90.00
_cell_angle_gamma 90.00
loop_
_atom_site_label
_atom_site_fract_x
_atom_site_fract_y
_atom_site_fract_z
Mg1 0.0000 0.0000 0.0000
Fe1 0.0000 0.0000 0.3132
Ni1 0.0000 0.0000 0.6739
```

Summary:
Relative energy among the computed polymorphs   21 meV/atom
E   -5.220 eV per atom
Density of states at the Fermi level   5.8 states/eV/cell
E_form   0.0600 eV/atom

---

[5]
Below is crystalline MgFeNi at its relaxed geometry, with properties calculated at the PBE level.

The structure in CIF format:
```
data_MgFeNi
_chemical_formula_sum 'Mg2 Fe2 Ni2'
_symmetry_space_group_name_H-M 'P m m n'
_symmetry_Int_Tables_number 59
_cell_length_a 2.8719
_cell_length_b 4.0982
_cell_length_c 7.0967
_cell_angle_alpha 90.00
_cell_angle_beta 90.00
_cell_angle_gamma 90.00
loop_
_symmetry_equiv_pos_as_xyz
'x,y,z'
'-x,-y,-z'
'-x+1/2,-y+1/2,z'
'x+1/2,y+1/2,-z'
'x+1/2,-y,-z'
'-x+1/2,y,z'
'-x,y+1/2,-z'
'x,-y+1/2,z'
loop_
_atom_site_label
_atom_site_fract_x
_atom_site_fract_y
_atom_site_fract_z
Mg1 0.2500 0.2500 0.1382
Fe1 0.2500 0.7500 0.5122
Ni1 0.2500 0.2500 0.7550
```

Summary:
Relative energy among the computed polymorphs   0 meV/atom
E   -5.240 eV per atom
Density of states at the Fermi level   4.7 states/eV/cell
E_form   0.0394 eV/atom

---

[6]
Below is crystalline MgFeNi at its relaxed geometry, with properties calculated at the PBE level.

The structure in CIF format:
```
data_MgFeNi
_chemical_formula_sum 'Mg4 Fe4 Ni4'
_symmetry_space_group_name_H-M 'F -4 3 m'
_symmetry_Int_Tables_number 216
_symmetry_space_group_name_Hall 'F -4 2 3'
_cell_length_a 5.7289
_cell_length_b 5.7289
_cell_length_c 5.7289
_cell_angle_alpha 90.00
_cell_angle_beta 90.00
_cell_angle_gamma 90.00
loop_
_atom_site_label
_atom_site_fract_x
_atom_site_fract_y
_atom_site_fract_z
Mg1 0.0000 0.0000 0.0000
Fe1 0.0000 0.0000 0.5000
Ni1 0.2500 0.2500 0.7500
```

Summary:
Relative energy among the computed polymorphs   299 meV/atom
E   -4.941 eV per atom
Density of states at the Fermi level   16.7 states/eV/cell
E_form   0.3381 eV/atom

---

[7]
Below is crystalline Mg2FeNi at its relaxed geometry, with properties calculated at the PBE level.

The structure in CIF format:
```
data_Mg2FeNi
_chemical_formula_sum 'Mg2 Fe1 Ni1'
_symmetry_space_group_name_H-M 'P 4 m m'
_symmetry_Int_Tables_number 99
_symmetry_space_group_name_Hall 'P 4 -2'
_cell_length_a 2.9746
_cell_length_b 2.9746
_cell_length_c 7.1500
_cell_angle_alpha 90.00
_cell_angle_beta 90.00
_cell_angle_gamma 90.00
loop_
_atom_site_label
_atom_site_fract_x
_atom_site_fract_y
_atom_site_fract_z
Mg1 0.0000 0.0000 0.0000
Mg2 0.5000 0.5000 0.3414
Fe1 0.5000 0.5000 0.7502
Ni1 0.0000 0.0000 0.5775
```

Summary:
E   -4.313 eV per atom
Density of states at the Fermi level   3.2 states/eV/cell
E_form   0.0456 eV/atom

---

[8]
Below is crystalline MgFe2Ni9 at its relaxed geometry, with properties calculated at the PBE level.

The structure in CIF format:
```
data_MgFe2Ni9
_chemical_formula_sum 'Mg1 Fe2 Ni9'
_symmetry_space_group_name_H-M 'P 4/m m m'
_symmetry_Int_Tables_number 123
_symmetry_space_group_name_Hall '-P 4 2'
_cell_length_a 3.5784
_cell_length_b 3.5784
_cell_length_c 10.7036
_cell_angle_alpha 90.00
_cell_angle_beta 90.00
_cell_angle_gamma 90.00
loop_
_atom_site_label
_atom_site_fract_x
_atom_site_fract_y
_atom_site_fract_z
Mg1 0.0000 0.0000 0.0000
Fe1 0.0000 0.0000 0.3344
Ni1 0.0000 0.5000 0.1764
Ni2 0.0000 0.5000 0.5000
Ni3 0.5000 0.5000 0.0000
Ni4 0.5000 0.5000 0.3373
```

Summary:
E   -5.973 eV per atom
Density of states at the Fermi level   7.8 states/eV/cell
E_form   -0.0933 eV/atom